Compound: ErIn2MoO8
Source: Alexandria via LeMat-Bulk
Functional: GGA+U
Structure: relaxed

Structure (POSCAR):
```
ErIn2MoO8
1.0
3.464 -3.522 0.000
3.464 3.522 0.000
0.000 0.000 6.618
Er In Mo O
1 2 1 8
Direct
0.000 0.000 0.000
0.500 0.500 0.255
0.500 0.500 0.745
0.000 0.000 0.500
0.185 0.815 0.284
0.185 0.815 0.716
0.287 0.287 0.500
0.311 0.311 0.000
0.689 0.689 0.000
0.713 0.713 0.500
0.815 0.185 0.284
0.815 0.185 0.716
```

Properties
For the uncorrected energy, the calculation gives -6.561 eV per atom.